First-principles (PBE-GGA) data for crystalline Co4IrPt at its relaxed geometry, as listed in Alexandria via LeMat-Bulk.

Structure (CIF):
```
data_Co4IrPt
_chemical_formula_sum 'Co4 Ir1 Pt1'
_cell_length_a 4.7243
_cell_length_b 4.7243
_cell_length_c 4.7243
_cell_angle_alpha 60.00
_cell_angle_beta 60.00
_cell_angle_gamma 60.00
_symmetry_space_group_name_H-M 'P 1'
_symmetry_Int_Tables_number 1
loop_
_symmetry_equiv_pos_as_xyz
'x,y,z'
loop_
_atom_site_label
_atom_site_type_symbol
_atom_site_fract_x
_atom_site_fract_y
_atom_site_fract_z
Co1 Co 0.6250 0.6250 0.1250
Co2 Co 0.6250 0.1250 0.6250
Co3 Co 0.6250 0.6250 0.6250
Co4 Co 0.1250 0.6250 0.6250
Ir1 Ir 0.2500 0.2500 0.2500
Pt1 Pt 0.0000 0.0000 0.0000
```

Output
The calculation puts the total moment at 8.4 μB per cell. The calculation puts the formation enthalpy at 0 K at 0.05 eV/atom. The symmetry is F-43m.



First-principles (PBE-GGA) data for crystalline TaSbOs2Br at its relaxed geometry, as listed in Alexandria via LeMat-Bulk.

Structure (CIF):
```
data_TaSbOs2Br
_chemical_formula_sum 'Ta1 Sb1 Os2 Br1'
_cell_length_a 4.8792
_cell_length_b 4.9094
_cell_length_c 4.8792
_cell_angle_alpha 90.00
_cell_angle_beta 90.00
_cell_angle_gamma 90.00
_symmetry_space_group_name_H-M 'P 1'
_symmetry_Int_Tables_number 1
loop_
_symmetry_equiv_pos_as_xyz
'x,y,z'
loop_
_atom_site_label
_atom_site_type_symbol
_atom_site_fract_x
_atom_site_fract_y
_atom_site_fract_z
Os1 Os 0.5000 0.0000 0.0000
Os2 Os 0.0000 0.0000 0.5000
Ta1 Ta 0.0000 0.0000 0.0000
Sb1 Sb 0.5000 0.5000 0.5000
Br1 Br 0.0000 0.5000 0.0000
```

Output
The calculation puts the total moment at 0.0 μB per cell. For the energy relative to the elements, uncorrected, the calculation gives 7.9 eV/f.u. The symmetry is P4/mmm.



| no. | energy (eV/atom) |
| --- | --- |
| 1 | -7.167 |
| 2 | -6.448 |